1.
Density functional theory data (PBE-GGA) for a geometry-optimized Sc2Al5Ru2Rh structure.

Geometry as POSCAR:
```
Sc2Al5Ru2Rh
1.0
10.4471 0.0000 0.0000
0.0000 10.4471 0.0000
0.0000 0.0000 3.0450
Sc Al Ru Rh
4 10 4 2
Direct
0.1904 0.3096 0.0000
0.3096 0.8096 0.0000
0.6904 0.1904 0.0000
0.8096 0.6904 0.0000
0.0000 0.5000 0.5000
0.0478 0.8063 0.5000
0.1937 0.0478 0.5000
0.3063 0.5478 0.5000
0.4522 0.3063 0.5000
0.5000 0.0000 0.5000
0.5478 0.6937 0.5000
0.6937 0.4522 0.5000
0.8063 0.9522 0.5000
0.9522 0.1937 0.5000
0.1315 0.6315 0.0000
0.3685 0.1315 0.0000
0.6315 0.8685 0.0000
0.8685 0.3685 0.0000
0.0000 0.0000 0.0000
0.5000 0.5000 0.0000
```

Calculated values
- ΔH_f (0 K) (kJ/mol of formula units) = -556
- raw total energy (eV per cell) = -126.083



2.
Density functional theory data (PBE-GGA) for a geometry-optimized TlHS4 structure.

Geometry as POSCAR:
```
TlHS4
1.0
5.8593 0.0000 0.0000
2.8562 5.4029 0.0000
1.8021 0.9327 10.8039
Tl H S
2 2 8
Direct
0.2322 0.2382 0.3499
0.7678 0.7618 0.6501
0.0516 0.8625 0.1619
0.9484 0.1375 0.8381
0.2057 0.1985 0.6495
0.2551 0.8977 0.0973
0.4218 0.3837 0.6516
0.4498 0.4267 0.8307
0.5502 0.5733 0.1693
0.5782 0.6163 0.3484
0.7449 0.1023 0.9027
0.7943 0.8015 0.3505
```

Calculated values
- raw total energy (eV per cell) = -45.643



3.
Density functional theory data (PBE-GGA) for a geometry-optimized Ta2Nb6In structure.

Geometry as POSCAR:
```
Ta2Nb6In
1.0
-3.7371 5.5182 4.2131
3.7371 -5.5182 4.2131
3.7371 5.5182 -4.2131
Ta Nb In
4 12 2
Direct
0.1968 0.0256 0.2224
0.3032 0.5256 0.8289
0.6968 0.4744 0.1711
0.8032 0.9744 0.7776
0.0432 0.8628 0.5273
0.0686 0.6834 0.7520
0.1645 0.6372 0.1804
0.3355 0.5159 0.4727
0.4314 0.1834 0.6148
0.4568 0.9841 0.8196
0.5432 0.0159 0.1804
0.5686 0.8166 0.3852
0.6645 0.4841 0.5273
0.8355 0.3628 0.8196
0.9314 0.3166 0.2480
0.9568 0.1372 0.4727
0.2500 0.2500 0.0000
0.7500 0.7500 0.0000
```

Calculated values
- distance to the lowest polymorph of the same formula (meV per atom) = 0
- ΔH_f (0 K) (kJ/mol of formula units) = 255
- raw total energy (eV per cell) = -168.429



4.
Density functional theory data (PBE-GGA) for a geometry-optimized LiMg2TcB structure.

Geometry as POSCAR:
```
LiMg2TcB
1.0
4.4617 0.0000 0.0000
0.0000 4.4617 0.0000
0.0000 0.0000 4.1384
Li Mg Tc B
1 2 1 1
Direct
0.0000 0.0000 0.0000
0.0000 0.5000 0.5000
0.5000 0.0000 0.5000
0.5000 0.5000 0.0000
0.0000 0.0000 0.5000
```

Calculated values
- ΔH_f (0 K) (kJ/mol of formula units) = 414
- raw total energy (eV per cell) = -17.856



5.
Density functional theory data (PBE-GGA) for a geometry-optimized Pa2ZnP structure.

Geometry as POSCAR:
```
Pa2ZnP
1.0
3.3825 0.0000 0.0000
-1.6913 2.9294 0.0000
0.0000 0.0000 30.1918
Pa Zn P
6 3 3
Direct
0.0000 0.0000 0.1040
0.0000 0.0000 0.8960
0.3333 0.6667 0.5626
0.3333 0.6667 0.7707
0.6667 0.3333 0.2293
0.6667 0.3333 0.4374
0.0000 0.0000 0.0000
0.3333 0.6667 0.6667
0.6667 0.3333 0.3333
0.0000 0.0000 0.5000
0.3333 0.6667 0.1667
0.6667 0.3333 0.8333
```

Calculated values
- distance to the lowest polymorph of the same formula (meV per atom) = 403
- ΔH_f (0 K) (kJ/mol of formula units) = -12
- raw total energy (eV per cell) = -77.404



6.
Density functional theory data (PBE-GGA) for a geometry-optimized CeZr2Ru structure.

Geometry as POSCAR:
```
CeZr2Ru
1.0
3.1729 0.0000 0.0000
-1.5865 2.7478 0.0000
0.0000 0.0000 30.2897
Ce Zr Ru
3 6 3
Direct
0.0000 0.0000 0.0000
0.3333 0.6667 0.6667
0.6667 0.3333 0.3333
0.0000 0.0000 0.1004
0.0000 0.0000 0.8996
0.3333 0.6667 0.5663
0.3333 0.6667 0.7671
0.6667 0.3333 0.2329
0.6667 0.3333 0.4337
0.0000 0.0000 0.5000
0.3333 0.6667 0.1667
0.6667 0.3333 0.8333
```

Calculated values
- distance to the lowest polymorph of the same formula (meV per atom) = 310
- ΔH_f (0 K) (kJ/mol of formula units) = 30
- raw total energy (eV per cell) = -95.976



7.
Density functional theory data (PBE-GGA) for a geometry-optimized InPd3W structure.

Geometry as POSCAR:
```
InPd3W
1.0
4.7817 0.0000 0.0000
0.0000 4.7817 0.0000
0.0000 0.0000 4.7817
In Pd W
1 3 1
Direct
0.0000 0.0000 0.0000
0.0000 0.0000 0.5000
0.0000 0.5000 0.0000
0.5000 0.0000 0.0000
0.5000 0.5000 0.5000
```

Calculated values
- distance to the lowest polymorph of the same formula (meV per atom) = 656
- ΔH_f (0 K) (kJ/mol of formula units) = 781
- raw total energy (eV per cell) = -23.175



8.
Density functional theory data (PBE-GGA) for a geometry-optimized K3U2VS6 structure.

Geometry as POSCAR:
```
K3U2VS6
1.0
3.4009 -5.8914 0.0000
3.4009 5.8914 0.0000
-2.2744 0.0000 7.4064
K U V S
3 2 1 6
Direct
0.0000 0.0000 0.0000
0.3317 0.6683 0.0000
0.6683 0.3317 0.0000
0.1665 0.8335 0.5000
0.8335 0.1665 0.5000
0.5000 0.5000 0.5000
0.1181 0.4341 0.3024
0.2503 0.2503 0.6980
0.4341 0.1181 0.3024
0.5659 0.8819 0.6976
0.7497 0.7497 0.3020
0.8819 0.5659 0.6976
```

Calculated values
- uncorrected formation energy (eV/atom) = -1.277
- raw total energy (eV per cell) = -75.072



9.
Density functional theory data (PBE-GGA) for a geometry-optimized NaAg3Cl8 structure.

Geometry as POSCAR:
```
NaAg3Cl8
1.0
6.8180 0.0000 0.0000
-3.4090 5.9046 0.0000
0.0000 0.0000 7.8683
Na Ag Cl
1 3 8
Direct
0.0000 0.0000 0.0000
0.0000 0.0000 0.5000
0.3333 0.6667 0.7259
0.6667 0.3333 0.2741
0.0168 0.2980 0.3062
0.2811 0.9832 0.3062
0.2980 0.2811 0.6938
0.3333 0.6667 0.0357
0.6667 0.3333 0.9643
0.7020 0.7189 0.3062
0.7189 0.0168 0.6938
0.9832 0.7020 0.6938
```

Calculated values
- uncorrected formation energy (eV/atom) = -0.401
- distance to the lowest polymorph of the same formula (meV per atom) = 130
- raw total energy (eV per cell) = -29.455



10.
Density functional theory data (PBE-GGA) for a geometry-optimized RbTcAu2I8 structure.

Geometry as POSCAR:
```
RbTcAu2I8
1.0
7.2986 0.0000 0.0000
0.5767 8.0565 0.0000
3.0896 1.2522 8.8978
Rb Tc Au I
1 1 2 8
Direct
0.0000 0.0000 0.0000
0.5000 0.0000 0.5000
0.3443 0.4122 0.2060
0.6557 0.5878 0.7940
0.1499 0.8512 0.6321
0.2471 0.5168 0.9640
0.3154 0.3147 0.4896
0.4788 0.9556 0.2264
0.5212 0.0444 0.7736
0.6846 0.6853 0.5104
0.7529 0.4832 0.0360
0.8501 0.1488 0.3679
```

Calculated values
- uncorrected formation energy (eV/atom) = -0.264
- raw total energy (eV per cell) = -33.455



11.
Density functional theory data (PBE-GGA) for a geometry-optimized LiTbSn2Te4 structure.

Geometry as POSCAR:
```
LiTbSn2Te4
1.0
7.6398 0.0000 0.0000
0.0000 4.4429 0.0000
-2.5213 0.0000 7.3695
Li Tb Sn Te
1 1 2 4
Direct
0.0000 0.0000 0.0000
0.5000 0.5000 0.0000
0.0000 0.5000 0.5000
0.5000 0.0000 0.5000
0.2458 0.5000 0.2367
0.2519 0.0000 0.7614
0.7481 0.0000 0.2386
0.7542 0.5000 0.7633
```

Calculated values
- uncorrected formation energy (eV/atom) = -0.738
- raw total energy (eV per cell) = -33.023



12.
Density functional theory data (PBE-GGA) for a geometry-optimized Ca2Ac4Co structure.

Geometry as POSCAR:
```
Ca2Ac4Co
1.0
6.8955 0.0000 0.0000
0.0000 3.9832 0.0000
-0.0063 0.0000 19.9977
Ca Ac Co
4 8 2
Direct
0.0000 0.0000 0.0000
0.9999 0.0000 0.3204
0.5000 0.5000 0.0000
0.4999 0.5000 0.3204
0.1648 0.5000 0.4823
0.1660 0.5000 0.1600
0.3320 0.0000 0.6505
0.3323 0.0000 0.8308
0.6648 0.0000 0.4823
0.6660 0.0000 0.1600
0.8320 0.5000 0.6505
0.8323 0.5000 0.8308
0.4984 0.5000 0.7438
0.9984 0.0000 0.7438
```

Calculated values
- distance to the lowest polymorph of the same formula (meV per atom) = 0
- ΔH_f (0 K) (kJ/mol of formula units) = 47
- raw total energy (eV per cell) = -54.109



Which formula does entry 9 have? NaAg3Cl8



What is the formula in the eighth record? K3U2VS6